(1)
VASP calculation (PBE-GGA) on BiTePdI2 after structural relaxation.

## Properties
* E: -14.63 eV per cell
* symmetry: P4/mmm
* energy relative to the elements, uncorrected: 0.14 eV/atom

```
BiTePdI2
1.0
5.369 0.000 0.000
0.000 5.369 0.000
0.000 0.000 5.479
Bi Te Pd I
1 1 1 2
direct
0.000 0.000 0.000
0.500 0.500 0.000
0.500 0.500 0.500
0.000 0.500 0.500
0.500 0.000 0.500
```

---

(2)
VASP calculation (PBE-GGA) on RbNaTa2 after structural relaxation.

## Properties
* E: -35.60 eV per cell
* symmetry: I-42d
* energy relative to the elements: 8.2 eV per formula unit

```
RbNaTa2
1.0
-4.658 4.658 2.626
4.658 -4.658 2.626
4.658 4.658 -2.626
Rb Na Ta
2 2 4
direct
0.000 0.000 0.000
0.750 0.250 0.500
0.250 0.750 0.500
0.500 0.500 0.000
0.133 0.625 0.008
0.375 0.383 0.508
0.617 0.125 0.992
0.875 0.867 0.492
```